1.
A plane-wave DFT calculation with PBE was carried out for crystalline NiHgP2 at its relaxed geometry.

Cell lengths 5.6364, 5.6364, 6.4895 Å; angles 64.26, 64.26, 90.00 degrees
Last column: nearest neighbours and their distance in Å.
Positions (direct):
1 Hg 0.0000 0.0000 0.0000  4 P 2.64
2 Ni 0.5000 0.5000 0.0000  4 P 2.15
3 Ni 0.2500 0.7500 0.5000  4 P 2.15
4 P 0.3750 0.4487 0.7500  2 Ni 2.15
5 P 0.8750 0.8013 0.7500  2 Ni 2.15
6 P 0.5513 0.1250 0.2500  2 Ni 2.15
7 P 0.1987 0.6250 0.2500  2 Ni 2.15
8 Hg 0.7500 0.2500 0.5000  4 P 2.64

Summary:
As for the crystal system: tetragonal. The value obtained for the calculated volume is 20.34 A^3/atom. The calculation puts the energy of formation from the pure elements at 136 meV/atom.

=====

2.
A plane-wave DFT calculation with PBE was carried out for crystalline NaPdBr5 at its relaxed geometry.

Cell lengths 7.4140, 7.4140, 9.2783 Å; angles 106.71, 106.71, 107.63 degrees
Last column: nearest neighbours and their distance in Å.
Positions (direct):
1 Br 0.2795 0.1448 0.9093  1 Pd 2.52
2 Br 0.6448 0.7795 0.4093  1 Pd 2.52
3 Br 0.8065 0.1854 0.8820  1 Pd 2.51
4 Pd 0.5000 0.5000 0.5000  6 Br 2.51-2.54
5 Pd 0.0000 0.0000 0.0000  6 Br 2.51-2.54
6 Br 0.1573 0.3427 0.2500  2 Pd 2.54
7 Br 0.7205 0.8552 0.0907  1 Pd 2.52
8 Br 0.1935 0.8146 0.1180  1 Pd 2.51
9 Br 0.3552 0.2205 0.5907  1 Pd 2.52
10 Br 0.8427 0.6573 0.7500  2 Pd 2.54
11 Na 0.8883 0.6117 0.2500  5 Br 2.97-3.22
12 Na 0.1117 0.3883 0.7500  5 Br 2.97-3.22
13 Br 0.3146 0.6935 0.6180  1 Pd 2.51
14 Br 0.6854 0.3065 0.3820  1 Pd 2.51

Summary:
The value obtained for the uncorrected formation energy is -535 meV/atom. As for the crystal system: monoclinic. The value obtained for the calculated volume is 30.32 A^3/atom.

=====

3.
A plane-wave DFT calculation with PBE was carried out for crystalline V8Ge2H3 at its relaxed geometry.

Cell lengths 4.7526, 5.0150, 6.9067 Å; angles 111.29, 91.62, 90.00 degrees
Last column: nearest neighbours and their distance in Å.
Positions (direct):
1 H 0.0000 0.7756 0.0000  2 V 1.84
2 V 0.3645 0.3458 0.1812  2 H 1.86-2.06
3 V 0.8969 0.5847 0.1694  2 H 1.84
4 V 0.3645 0.8353 0.1812  2 H 1.86-2.06
5 H 0.5000 0.0000 0.0000  4 V 1.86
6 Ge 0.6317 0.7400 0.4801  7 V 2.40-2.58
7 V 0.1281 0.8047 0.6093  2 Ge 2.48-2.56
8 V 0.8719 0.1953 0.3907  2 Ge 2.48-2.56
9 H 0.0000 0.2244 0.0000  2 V 1.84
10 V 0.6355 0.1647 0.8188  2 H 1.86-2.06
11 Ge 0.3683 0.2600 0.5199  7 V 2.40-2.58
12 V 0.6355 0.6542 0.8188  2 H 1.86-2.06
13 V 0.1031 0.4153 0.8306  2 H 1.84

Summary:
As for the crystal system: monoclinic. The value obtained for the calculated volume is 11.79 A^3/atom. The energy comes out at -92.2 eV for the cell shown.

=====

4.
A plane-wave DFT calculation with PBE was carried out for crystalline Ir2S5 at its relaxed geometry.

Cell lengths 5.4406, 6.5080, 7.5716 Å; angles 99.98, 111.06, 90.00 degrees
Last column: nearest neighbours and their distance in Å.
Positions (direct):
1 S 0.2085 0.0869 0.4336  3 Ir 2.36-2.43
2 S 0.6290 0.4801 0.1388  1 S 2.13, 1 Ir 2.36
3 Ir 0.8908 0.8026 0.2771  6 S 2.30-2.43
4 S 0.5098 0.9801 0.1388  1 S 2.13, 1 Ir 2.36
5 S 0.0159 0.2500 0.0000  2 Ir 2.30
6 S 0.9841 0.7500 0.0000  2 Ir 2.30
7 Ir 0.3864 0.3026 0.2771  6 S 2.30-2.43
8 S 0.4902 0.0199 0.8612  1 S 2.13, 1 Ir 2.36
9 S 0.3710 0.5199 0.8612  1 S 2.13, 1 Ir 2.36
10 S 0.7915 0.9131 0.5664  3 Ir 2.36-2.43
11 S 0.7749 0.4131 0.5664  3 Ir 2.36-2.43
12 S 0.2251 0.5869 0.4336  3 Ir 2.36-2.43
13 Ir 0.6136 0.6974 0.7229  6 S 2.30-2.43
14 Ir 0.1092 0.1974 0.7229  6 S 2.30-2.43

Summary:
The value obtained for the uncorrected formation energy is -171 meV/atom. As for the crystal system: monoclinic. The value obtained for the calculated volume is 17.56 A^3/atom.

=====

5.
A plane-wave DFT calculation with PBE was carried out for crystalline InGeSb at its relaxed geometry.

Cell lengths 4.6432, 5.7793, 6.7310 Å; angles 65.34, 85.84, 75.02 degrees
Last column: nearest neighbours and their distance in Å.
Positions (direct):
1 Ge 0.8382 0.9997 0.8509  1 Ge 2.59, 2 Sb 2.77-2.85
2 Ge 0.1618 0.0003 0.1491  1 Ge 2.59, 2 Sb 2.77-2.85
3 In 0.7946 0.7696 0.5279  2 Ge 2.98-3.03, 3 Sb 3.16-3.32, 1 In 3.20
4 Sb 0.6193 0.5767 0.1627  2 Ge 2.77-2.85, 1 Sb 3.05
5 In 0.2054 0.2304 0.4721  2 Ge 2.98-3.03, 3 Sb 3.16-3.32, 1 In 3.20
6 Sb 0.3807 0.4233 0.8373  2 Ge 2.77-2.85, 1 Sb 3.05

Summary:
The value obtained for the uncorrected formation energy is 84 meV/atom. As for the crystal system: triclinic. The value obtained for the calculated volume is 26.41 A^3/atom.

=====

6.
A plane-wave DFT calculation with PBE was carried out for crystalline Sr2Y at its relaxed geometry.

Cell lengths 8.4449, 8.4449, 8.4449 Å; angles 90.00, 90.00, 90.00 degrees
Last column: nearest neighbours and their distance in Å.
Positions (direct):
1 Y 0.0000 0.0000 0.0000  6 Sr 3.47
2 Sr 0.1421 0.6421 0.1421  3 Y 3.47
3 Y 0.0000 0.5000 0.5000  6 Sr 3.47
4 Sr 0.1421 0.8579 0.6421  3 Y 3.47
5 Sr 0.6421 0.8579 0.8579  3 Y 3.47
6 Sr 0.8579 0.1421 0.3579  3 Y 3.47
7 Y 0.5000 0.0000 0.5000  6 Sr 3.47
8 Sr 0.8579 0.3579 0.8579  3 Y 3.47
9 Y 0.5000 0.5000 0.0000  6 Sr 3.47
10 Sr 0.3579 0.1421 0.1421  3 Y 3.47
11 Sr 0.3579 0.3579 0.6421  3 Y 3.47
12 Sr 0.6421 0.6421 0.3579  3 Y 3.47

Summary:
As for the crystal system: cubic. The value obtained for the calculated volume is 50.19 A^3/atom. The calculation puts the energy of formation from the pure elements at 778 meV/atom.

=====

What did the first record say?
A plane-wave DFT calculation with PBE was carried out for crystalline NiHgP2 at its relaxed geometry.

Cell lengths 5.6364, 5.6364, 6.4895 Å; angles 64.26, 64.26, 90.00 degrees
Last column: nearest neighbours and their distance in Å.
Positions (direct):
1 Hg 0.0000 0.0000 0.0000  4 P 2.64
2 Ni 0.5000 0.5000 0.0000  4 P 2.15
3 Ni 0.2500 0.7500 0.5000  4 P 2.15
4 P 0.3750 0.4487 0.7500  2 Ni 2.15
5 P 0.8750 0.8013 0.7500  2 Ni 2.15
6 P 0.5513 0.1250 0.2500  2 Ni 2.15
7 P 0.1987 0.6250 0.2500  2 Ni 2.15
8 Hg 0.7500 0.2500 0.5000  4 P 2.64

Summary:
As for the crystal system: tetragonal. The value obtained for the calculated volume is 20.34 A^3/atom. The calculation puts the energy of formation from the pure elements at 136 meV/atom.